The following is a DFT calculation (PBE-GGA) of a relaxed structure of ThTcGe3.

Cell and atoms, written as POSCAR:
```
ThTcGe3
1.0
5.8384 -0.0005 -0.0001
-0.0003 5.7525 -0.0009
0.0000 0.0009 6.2545
Th Tc Ge
2 2 6
Cartesian
2.4696 1.8960 4.3826
5.3889 0.1336 1.2555
0.9297 4.5402 4.3819
3.8497 3.2424 1.2548
2.2264 1.4915 1.2563
2.6684 4.8949 6.0617
5.5882 2.8861 2.9348
5.1464 0.5398 4.3836
5.5885 2.8868 5.8295
2.6689 4.8945 2.7023
```

Output
As for the space group: No. 31. As for the raw total energy: -6.698 eV/atom. For the total magnetization, the calculation gives 0.0 μB per cell. As for the energy relative to the elements: -0.37 eV/atom.